PBE Ac3SmDy3, relaxed; uncorrected energy = -4.346 eV per atom; M_tot = 0.0 Bohr magnetons per cell; E_form = 0.061 eV/atom; space-group type = No. 148
1.0
4.961 2.864 6.134
-4.961 2.864 6.134
0.000 -5.728 6.134
Ac Sm Dy
6 2 6
direct
0.176 0.456 0.616
0.384 0.824 0.544
0.456 0.616 0.176
0.544 0.384 0.824
0.616 0.176 0.456
0.824 0.544 0.384
0.243 0.243 0.243
0.757 0.757 0.757
0.032 0.901 0.315
0.099 0.685 0.968
0.315 0.032 0.901
0.685 0.968 0.099
0.901 0.315 0.032
0.968 0.099 0.685